a:
{"formula": "Zn2MoIr", "functional": "PBE-GGA", "state": "relaxed", "vol_a3_per_fu": 60.87, "sg": "R3m, No. 160", "lattice": [[2.797, 0.000, 0.000], [-1.398, 2.422, 0.000], [0.000, 0.000, 26.960]], "species": ["Zn", "Zn", "Zn", "Zn", "Zn", "Zn", "Mo", "Mo", "Mo", "Ir", "Ir", "Ir"], "frac_coords": [[0.000, 0.000, 0.000], [0.000, 0.000, 0.245], [0.333, 0.667, 0.667], [0.333, 0.667, 0.912], [0.667, 0.333, 0.333], [0.667, 0.333, 0.578], [0.000, 0.000, 0.493], [0.333, 0.667, 0.160], [0.667, 0.333, 0.827], [0.000, 0.000, 0.749], [0.333, 0.667, 0.415], [0.667, 0.333, 0.082]]}

***

b:
{"formula": "Zn2MoIr", "functional": "PBE-GGA", "state": "relaxed", "vol_a3_per_fu": 57.93, "sg": "Fm-3m, No. 225", "lattice": [[6.142, 0.000, 0.000], [0.000, 6.142, 0.000], [0.000, 0.000, 6.142]], "species": ["Zn", "Zn", "Zn", "Zn", "Zn", "Zn", "Zn", "Zn", "Mo", "Mo", "Mo", "Mo", "Ir", "Ir", "Ir", "Ir"], "frac_coords": [[0.250, 0.250, 0.250], [0.250, 0.250, 0.750], [0.250, 0.750, 0.250], [0.250, 0.750, 0.750], [0.750, 0.250, 0.250], [0.750, 0.250, 0.750], [0.750, 0.750, 0.250], [0.750, 0.750, 0.750], [0.000, 0.000, 0.000], [0.000, 0.500, 0.500], [0.500, 0.000, 0.500], [0.500, 0.500, 0.000], [0.000, 0.000, 0.500], [0.000, 0.500, 0.000], [0.500, 0.000, 0.000], [0.500, 0.500, 0.500]]}

***

Most stable to least stable: a, b

***

a:
{"formula": "Zn2MoIr", "functional": "PBE-GGA", "state": "relaxed", "vol_a3_per_fu": 59.67, "sg": "Pmmm, No. 47", "lattice": [[2.847, 0.000, 0.000], [0.000, 4.519, 0.000], [0.000, 0.000, 4.638]], "species": ["Zn", "Zn", "Mo", "Ir"], "frac_coords": [[0.000, 0.000, 0.000], [0.500, 0.000, 0.500], [0.000, 0.500, 0.500], [0.500, 0.500, 0.000]]}

***

b:
{"formula": "Zn2MoIr", "functional": "PBE-GGA", "state": "relaxed", "vol_a3_per_fu": 58.74, "sg": "P4mm, No. 99", "lattice": [[2.879, 0.000, 0.000], [0.000, 2.879, 0.000], [0.000, 0.000, 7.090]], "species": ["Zn", "Zn", "Mo", "Ir"], "frac_coords": [[0.000, 0.000, 0.000], [0.500, 0.500, 0.246], [0.500, 0.500, 0.737], [0.000, 0.000, 0.493]]}

***

Most stable to least stable: b, a

***

a:
{"formula": "ZnMo2Ir2", "functional": "PBE-GGA", "state": "relaxed", "vol_a3_per_fu": 81.08, "sg": "P4/mbm, No. 127", "lattice": [[7.640, 0.000, 0.000], [0.000, 7.640, 0.000], [0.000, 0.000, 2.778]], "species": ["Zn", "Zn", "Mo", "Mo", "Mo", "Mo", "Ir", "Ir", "Ir", "Ir"], "frac_coords": [[0.000, 0.000, 0.000], [0.500, 0.500, 0.000], [0.168, 0.332, 0.500], [0.332, 0.832, 0.500], [0.668, 0.168, 0.500], [0.832, 0.668, 0.500], [0.126, 0.626, 0.000], [0.374, 0.126, 0.000], [0.626, 0.874, 0.000], [0.874, 0.374, 0.000]]}

***

b:
{"formula": "ZnMo2Ir2", "functional": "PBE-GGA", "state": "relaxed", "vol_a3_per_fu": 82.24, "sg": "P4/mbm, No. 127", "lattice": [[7.724, 0.000, 0.000], [0.000, 7.724, 0.000], [0.000, 0.000, 2.757]], "species": ["Zn", "Zn", "Mo", "Mo", "Mo", "Mo", "Ir", "Ir", "Ir", "Ir"], "frac_coords": [[0.000, 0.000, 0.000], [0.500, 0.500, 0.000], [0.122, 0.378, 0.000], [0.378, 0.878, 0.000], [0.622, 0.122, 0.000], [0.878, 0.622, 0.000], [0.168, 0.668, 0.500], [0.332, 0.168, 0.500], [0.668, 0.832, 0.500], [0.832, 0.332, 0.500]]}

***

Most stable to least stable: a, b

***

a:
{"formula": "ZnMoIr3", "functional": "PBE-GGA", "state": "relaxed", "vol_a3_per_fu": 88.56, "sg": "Pm-3m, No. 221", "lattice": [[4.457, 0.000, 0.000], [0.000, 4.457, 0.000], [0.000, 0.000, 4.457]], "species": ["Zn", "Mo", "Ir", "Ir", "Ir"], "frac_coords": [[0.000, 0.000, 0.000], [0.500, 0.500, 0.500], [0.000, 0.000, 0.500], [0.000, 0.500, 0.000], [0.500, 0.000, 0.000]]}

***

b:
{"formula": "ZnMoIr3", "functional": "PBE-GGA", "state": "relaxed", "vol_a3_per_fu": 105.45, "sg": "Pm-3m, No. 221", "lattice": [[4.724, 0.000, 0.000], [0.000, 4.724, 0.000], [0.000, 0.000, 4.724]], "species": ["Zn", "Mo", "Ir", "Ir", "Ir"], "frac_coords": [[0.000, 0.000, 0.000], [0.500, 0.500, 0.500], [0.000, 0.500, 0.500], [0.500, 0.000, 0.500], [0.500, 0.500, 0.000]]}

***

Most stable to least stable: a, b

***

a:
{"formula": "ZrMo2Ir2", "functional": "PBE-GGA", "state": "relaxed", "vol_a3_per_fu": 83.85, "sg": "P4/mbm, No. 127", "lattice": [[7.715, 0.000, 0.000], [0.000, 7.715, 0.000], [0.000, 0.000, 2.818]], "species": ["Zr", "Zr", "Mo", "Mo", "Mo", "Mo", "Ir", "Ir", "Ir", "Ir"], "frac_coords": [[0.000, 0.000, 0.000], [0.500, 0.500, 0.000], [0.170, 0.330, 0.500], [0.330, 0.830, 0.500], [0.670, 0.170, 0.500], [0.830, 0.670, 0.500], [0.126, 0.626, 0.000], [0.374, 0.126, 0.000], [0.626, 0.874, 0.000], [0.874, 0.374, 0.000]]}

***

b:
{"formula": "ZrMo2Ir2", "functional": "PBE-GGA", "state": "relaxed", "vol_a3_per_fu": 84.03, "sg": "P4/mbm, No. 127", "lattice": [[7.765, 0.000, 0.000], [0.000, 7.765, 0.000], [0.000, 0.000, 2.788]], "species": ["Zr", "Zr", "Mo", "Mo", "Mo", "Mo", "Ir", "Ir", "Ir", "Ir"], "frac_coords": [[0.000, 0.000, 0.000], [0.500, 0.500, 0.000], [0.120, 0.380, 0.000], [0.380, 0.880, 0.000], [0.620, 0.120, 0.000], [0.880, 0.620, 0.000], [0.174, 0.674, 0.500], [0.326, 0.174, 0.500], [0.674, 0.826, 0.500], [0.826, 0.326, 0.500]]}

***

Most stable to least stable: a, b

***

a:
{"formula": "ZrMoIr", "functional": "PBE-GGA", "state": "relaxed", "vol_a3_per_fu": 52.33, "sg": "I4mm, No. 107", "lattice": [[3.330, 0.000, 0.000], [0.000, 3.330, 0.000], [0.000, 0.000, 9.436]], "species": ["Zr", "Zr", "Mo", "Mo", "Ir", "Ir"], "frac_coords": [[0.000, 0.000, 0.000], [0.500, 0.500, 0.500], [0.000, 0.000, 0.324], [0.500, 0.500, 0.824], [0.000, 0.000, 0.671], [0.500, 0.500, 0.171]]}

***

b:
{"formula": "ZrMoIr", "functional": "PBE-GGA", "state": "relaxed", "vol_a3_per_fu": 51.34, "sg": "P3m1, No. 156", "lattice": [[4.567, 0.000, 0.000], [-2.283, 3.955, 0.000], [0.000, 0.000, 2.843]], "species": ["Zr", "Mo", "Ir"], "frac_coords": [[0.000, 0.000, 0.000], [0.667, 0.333, 0.658], [0.333, 0.667, 0.381]]}

***

Most stable to least stable: a, b

***

a:
{"formula": "ZrMoIr", "functional": "PBE-GGA", "state": "relaxed", "vol_a3_per_fu": 54.55, "sg": "I4/mmm, No. 139", "lattice": [[3.831, 0.000, 0.000], [0.000, 3.831, 0.000], [0.000, 0.000, 14.864]], "species": ["Zr", "Zr", "Zr", "Zr", "Mo", "Mo", "Mo", "Mo", "Ir", "Ir", "Ir", "Ir"], "frac_coords": [[0.000, 0.000, 0.181], [0.000, 0.000, 0.819], [0.500, 0.500, 0.319], [0.500, 0.500, 0.681], [0.000, 0.500, 0.000], [0.000, 0.500, 0.500], [0.500, 0.000, 0.000], [0.500, 0.000, 0.500], [0.000, 0.000, 0.367], [0.000, 0.000, 0.633], [0.500, 0.500, 0.133], [0.500, 0.500, 0.867]]}

***

b:
{"formula": "ZrMoIr", "functional": "PBE-GGA", "state": "relaxed", "vol_a3_per_fu": 52.10, "sg": "I4mm, No. 107", "lattice": [[2.894, 0.000, 0.000], [0.000, 2.894, 0.000], [0.000, 0.000, 12.440]], "species": ["Zr", "Zr", "Mo", "Mo", "Ir", "Ir"], "frac_coords": [[0.000, 0.000, 0.000], [0.500, 0.500, 0.500], [0.000, 0.000, 0.311], [0.500, 0.500, 0.811], [0.000, 0.000, 0.670], [0.500, 0.500, 0.170]]}

***

Most stable to least stable: a, b

***

a:
{"formula": "NaIr3N", "functional": "PBE-GGA", "state": "relaxed", "vol_a3_per_fu": 92.32, "sg": "Pm-3m, No. 221", "lattice": [[4.520, 0.000, 0.000], [0.000, 4.520, 0.000], [0.000, 0.000, 4.520]], "species": ["Na", "Ir", "Ir", "Ir", "N"], "frac_coords": [[0.000, 0.000, 0.000], [0.000, 0.000, 0.500], [0.000, 0.500, 0.000], [0.500, 0.000, 0.000], [0.500, 0.500, 0.500]]}

***

b:
{"formula": "NaIr3N", "functional": "PBE-GGA", "state": "relaxed", "vol_a3_per_fu": 69.92, "sg": "Pm-3m, No. 221", "lattice": [[4.120, 0.000, 0.000], [0.000, 4.120, 0.000], [0.000, 0.000, 4.120]], "species": ["Na", "Ir", "Ir", "Ir", "N"], "frac_coords": [[0.000, 0.000, 0.000], [0.000, 0.500, 0.500], [0.500, 0.000, 0.500], [0.500, 0.500, 0.000], [0.500, 0.500, 0.500]]}

***

Most stable to least stable: b, a

***

a:
{"formula": "Na3IrN", "functional": "PBE-GGA", "state": "relaxed", "vol_a3_per_fu": 166.06, "sg": "Pm-3m, No. 221", "lattice": [[5.496, 0.000, 0.000], [0.000, 5.496, 0.000], [0.000, 0.000, 5.496]], "species": ["Na", "Na", "Na", "Ir", "N"], "frac_coords": [[0.000, 0.000, 0.500], [0.000, 0.500, 0.000], [0.500, 0.000, 0.000], [0.000, 0.000, 0.000], [0.500, 0.500, 0.500]]}

***

b:
{"formula": "Na3IrN", "functional": "PBE-GGA", "state": "relaxed", "vol_a3_per_fu": 101.39, "sg": "Pm-3m, No. 221", "lattice": [[4.663, 0.000, 0.000], [0.000, 4.663, 0.000], [0.000, 0.000, 4.663]], "species": ["Na", "Na", "Na", "Ir", "N"], "frac_coords": [[0.000, 0.000, 0.500], [0.000, 0.500, 0.000], [0.500, 0.000, 0.000], [0.500, 0.500, 0.500], [0.000, 0.000, 0.000]]}

***

Most stable to least stable: b, a

***

a:
{"formula": "NaIrN2", "functional": "PBE-GGA", "state": "relaxed", "vol_a3_per_fu": 55.88, "sg": "R-3m, No. 166", "lattice": [[3.209, 0.000, 0.000], [-1.604, 2.779, 0.000], [0.000, 0.000, 18.800]], "species": ["Na", "Na", "Na", "Ir", "Ir", "Ir", "N", "N", "N", "N", "N", "N"], "frac_coords": [[0.000, 0.000, 0.000], [0.333, 0.667, 0.667], [0.667, 0.333, 0.333], [0.000, 0.000, 0.500], [0.333, 0.667, 0.167], [0.667, 0.333, 0.833], [0.000, 0.000, 0.118], [0.000, 0.000, 0.882], [0.333, 0.667, 0.548], [0.333, 0.667, 0.785], [0.667, 0.333, 0.215], [0.667, 0.333, 0.452]]}

***

b:
{"formula": "NaIrN2", "functional": "PBE-GGA", "state": "relaxed", "vol_a3_per_fu": 60.38, "sg": "I-42d, No. 122", "lattice": [[5.105, 0.000, 0.000], [0.000, 5.105, 0.000], [0.000, 0.000, 9.268]], "species": ["Na", "Na", "Na", "Na", "Ir", "Ir", "Ir", "Ir", "N", "N", "N", "N", "N", "N", "N", "N"], "frac_coords": [[0.000, 0.000, 0.000], [0.000, 0.500, 0.250], [0.500, 0.000, 0.750], [0.500, 0.500, 0.500], [0.000, 0.000, 0.500], [0.000, 0.500, 0.750], [0.500, 0.000, 0.250], [0.500, 0.500, 0.000], [0.163, 0.250, 0.625], [0.250, 0.663, 0.875], [0.250, 0.837, 0.375], [0.337, 0.250, 0.125], [0.663, 0.750, 0.125], [0.750, 0.163, 0.375], [0.750, 0.337, 0.875], [0.837, 0.750, 0.625]]}

***

c:
{"formula": "NaIrN2", "functional": "PBE-GGA", "state": "relaxed", "vol_a3_per_fu": 37.74, "sg": "Fm-3m, No. 225", "lattice": [[5.324, 0.000, 0.000], [0.000, 5.324, 0.000], [0.000, 0.000, 5.324]], "species": ["Na", "Na", "Na", "Na", "Ir", "Ir", "Ir", "Ir", "N", "N", "N", "N", "N", "N", "N", "N"], "frac_coords": [[0.000, 0.000, 0.000], [0.000, 0.500, 0.500], [0.500, 0.000, 0.500], [0.500, 0.500, 0.000], [0.000, 0.000, 0.500], [0.000, 0.500, 0.000], [0.500, 0.000, 0.000], [0.500, 0.500, 0.500], [0.250, 0.250, 0.250], [0.250, 0.250, 0.750], [0.250, 0.750, 0.250], [0.250, 0.750, 0.750], [0.750, 0.250, 0.250], [0.750, 0.250, 0.750], [0.750, 0.750, 0.250], [0.750, 0.750, 0.750]]}

***

Most stable to least stable: b, a, c

***

a:
{"formula": "Na3IrN2", "functional": "PBE-GGA", "state": "relaxed", "vol_a3_per_fu": 98.10, "sg": "Cmcm, No. 63", "lattice": [[4.256, -3.680, 0.000], [4.256, 3.680, 0.000], [0.000, 0.000, 6.264]], "species": ["Na", "Na", "Na", "Na", "Na", "Na", "Ir", "Ir", "N", "N", "N", "N"], "frac_coords": [[0.212, 0.212, 0.000], [0.212, 0.212, 0.500], [0.250, 0.750, 0.750], [0.750, 0.250, 0.250], [0.788, 0.788, 0.000], [0.788, 0.788, 0.500], [0.335, 0.665, 0.250], [0.665, 0.335, 0.750], [0.083, 0.917, 0.250], [0.500, 0.500, 0.000], [0.500, 0.500, 0.500], [0.917, 0.083, 0.750]]}

***

b:
{"formula": "Na3IrN2", "functional": "PBE-GGA", "state": "relaxed", "vol_a3_per_fu": 112.42, "sg": "P2_1/c, No. 14", "lattice": [[7.737, 0.000, 0.000], [0.000, 6.977, 0.000], [-7.359, 0.000, 8.331]], "species": ["Na", "Na", "Na", "Na", "Na", "Na", "Na", "Na", "Na", "Na", "Na", "Na", "Ir", "Ir", "Ir", "Ir", "N", "N", "N", "N", "N", "N", "N", "N"], "frac_coords": [[0.142, 0.009, 0.444], [0.142, 0.491, 0.944], [0.195, 0.016, 0.959], [0.195, 0.484, 0.459], [0.334, 0.733, 0.741], [0.334, 0.767, 0.241], [0.666, 0.233, 0.759], [0.666, 0.267, 0.259], [0.805, 0.516, 0.541], [0.805, 0.984, 0.041], [0.858, 0.509, 0.056], [0.858, 0.991, 0.556], [0.264, 0.204, 0.253], [0.264, 0.296, 0.753], [0.736, 0.704, 0.247], [0.736, 0.796, 0.747], [0.043, 0.248, 0.542], [0.043, 0.252, 0.042], [0.460, 0.067, 0.452], [0.460, 0.433, 0.952], [0.540, 0.567, 0.048], [0.540, 0.933, 0.548], [0.957, 0.748, 0.958], [0.957, 0.752, 0.458]]}

***

Most stable to least stable: b, a

***

a:
{"formula": "NaIrS2N", "functional": "PBE-GGA", "state": "relaxed", "vol_a3_per_fu": 91.43, "sg": "P4/mmm, No. 123", "lattice": [[4.991, 0.000, 0.000], [0.000, 4.991, 0.000], [0.000, 0.000, 3.670]], "species": ["Na", "Ir", "S", "S", "N"], "frac_coords": [[0.000, 0.000, 0.000], [0.500, 0.500, 0.500], [0.000, 0.500, 0.500], [0.500, 0.000, 0.500], [0.500, 0.500, 0.000]]}

***

b:
{"formula": "NaIrS2N", "functional": "PBE-GGA", "state": "relaxed", "vol_a3_per_fu": 86.04, "sg": "P4/mmm, No. 123", "lattice": [[4.691, 0.000, 0.000], [0.000, 4.691, 0.000], [0.000, 0.000, 3.910]], "species": ["Na", "Ir", "S", "S", "N"], "frac_coords": [[0.000, 0.000, 0.000], [0.500, 0.500, 0.500], [0.000, 0.500, 0.000], [0.500, 0.000, 0.000], [0.000, 0.000, 0.500]]}

***

Most stable to least stable: a, b